Density functional theory data (PBE-GGA) for a relaxed CaUCl2 crystal.

Output
- Total magnetization: 3.9 μB per formula unit
- DOS(E_F): 1.13 states/eV/atom
- Formation energy without anion corrections: -95 kJ/mol of atoms

Lattice parameters (Å, degrees): 9.586 9.586 9.586 21.47 21.47 21.47
Element x y z (fractional)
Ca (0.000, 0.000, 0.000)
U (0.500, 0.500, 0.500)
Cl (0.396, 0.396, 0.396)
Cl (0.604, 0.604, 0.604)

Density functional theory data (PBE-GGA) for a relaxed La3Mg6Sn5 crystal.

Output
- Total magnetization: 0.0 μB per formula unit
- DOS(E_F): 0.49 states/eV/atom
- Electronic total energy: -3.654 eV/atom

Lattice parameters (Å, degrees): 4.661 14.183 11.179 90.00 90.00 90.00
Element x y z (fractional)
La (0.250, 0.073, 0.249)
La (0.250, 0.427, 0.249)
La (0.250, 0.750, 0.236)
La (0.750, 0.250, 0.764)
La (0.750, 0.573, 0.751)
La (0.750, 0.927, 0.751)
Mg (0.250, 0.078, 0.897)
Mg (0.250, 0.250, 0.045)
Mg (0.250, 0.250, 0.481)
Mg (0.250, 0.422, 0.897)
Mg (0.250, 0.593, 0.511)
Mg (0.250, 0.907, 0.511)
Mg (0.750, 0.093, 0.489)
Mg (0.750, 0.407, 0.489)
Mg (0.750, 0.578, 0.103)
Mg (0.750, 0.750, 0.519)
Mg (0.750, 0.750, 0.955)
Mg (0.750, 0.922, 0.103)
Sn (0.250, 0.090, 0.646)
Sn (0.250, 0.410, 0.646)
Sn (0.250, 0.619, 0.968)
Sn (0.250, 0.750, 0.699)
Sn (0.250, 0.881, 0.968)
Sn (0.750, 0.119, 0.032)
Sn (0.750, 0.250, 0.301)
Sn (0.750, 0.381, 0.032)
Sn (0.750, 0.590, 0.354)
Sn (0.750, 0.910, 0.354)

Density functional theory data (PBE-GGA) for a relaxed V2ZnSi2 crystal.

Output
- Total magnetization: 0.0 μB per formula unit
- DOS(E_F): 1.23 states/eV/atom
- Formation energy without anion corrections: 8 kJ/mol of atoms
- Excess energy over the best structure of this formula in the dataset: 0.327 eV per atom

Lattice parameters (Å, degrees): 6.044 6.044 6.044 143.70 143.70 52.28
Element x y z (fractional)
V (0.250, 0.750, 0.500)
V (0.750, 0.250, 0.500)
Zn (0.000, 0.000, 0.000)
Si (0.396, 0.396, 0.000)
Si (0.604, 0.604, 0.000)